# 1
Ca2Al3Zn4Ag, optimized geometry, DFT PBE-GGA; energy relative to the elements = -21.19 kJ per mole of atoms; E_tot = -25.4 eV/cell; density = 4.39 g/cm³
1.0
-2.620 -3.026 -1.507
2.066 -2.943 2.316
-6.863 1.770 8.374
Ca Al Zn Ag
2 3 4 1
Direct
0.500 0.000 0.246 Ca
0.000 0.500 0.754 Ca
0.000 0.000 0.500 Al
0.500 0.000 0.869 Al
0.000 0.500 0.131 Al
0.500 0.500 0.000 Zn
0.000 0.000 0.000 Zn
0.500 0.000 0.641 Zn
0.000 0.500 0.359 Zn
0.500 0.500 0.500 Ag

***

# 2
CaAlZnAg2, optimized geometry, DFT PBE-GGA; energy relative to the elements = -8.38 kJ per mole of atoms; E_tot = -26.3 eV/cell; density = 5.45 g/cm³
1.0
-4.655 -3.162 -0.250
0.382 -0.988 5.366
-4.040 6.058 -1.385
Ca Al Zn Ag
2 2 2 4
Direct
0.220 0.750 0.500 Ca
0.780 0.250 0.500 Ca
0.000 0.000 0.000 Al
0.000 0.500 0.000 Al
0.500 0.750 0.000 Zn
0.500 0.250 0.000 Zn
0.710 0.852 0.705 Ag
0.710 0.648 0.295 Ag
0.290 0.352 0.705 Ag
0.290 0.148 0.295 Ag

***

# 3
Ca2Al3ZnAg4, optimized geometry, DFT PBE-GGA; energy relative to the elements = -21.22 kJ per mole of atoms; E_tot = -30.1 eV/cell; density = 5.22 g/cm³
1.0
4.214 0.000 0.000
0.000 4.214 0.000
0.000 0.000 11.789
Ca Al Zn Ag
2 3 1 4
Direct
0.500 0.000 0.251 Ca
0.000 0.500 0.749 Ca
0.000 0.000 0.500 Al
0.500 0.000 0.863 Al
0.000 0.500 0.137 Al
0.500 0.500 0.500 Zn
0.500 0.500 0.000 Ag
0.000 0.000 0.000 Ag
0.500 0.000 0.643 Ag
0.000 0.500 0.357 Ag

***

# 4
CaAl2ZnAg5, optimized geometry, DFT PBE-GGA; energy relative to the elements = 4.37 kJ per mole of atoms; E_tot = -24.6 eV/cell; density = 6.27 g/cm³
1.0
-0.395 -3.302 3.591
4.346 1.398 1.763
-3.500 5.262 4.454
Ca Al Zn Ag
1 2 1 5
Direct
0.000 0.000 0.500 Ca
0.500 0.500 0.160 Al
0.500 0.500 0.840 Al
0.000 0.000 0.000 Zn
0.000 0.500 0.258 Ag
0.500 0.000 0.258 Ag
0.000 0.500 0.742 Ag
0.500 0.000 0.742 Ag
0.500 0.500 0.500 Ag

***

# 5
CaAlZnAg, optimized geometry, DFT PBE-GGA; energy relative to the elements = -19.76 kJ per mole of atoms; E_tot = -10.7 eV/cell; density = 5.08 g/cm³
1.0
-3.840 -1.191 2.638
0.506 -2.876 3.820
-0.516 1.782 4.436
Zn Ca Ag Al
1 1 1 1
Direct
0.750 0.750 0.750 Zn
0.500 0.500 0.500 Ca
0.250 0.250 0.250 Ag
0.000 0.000 0.000 Al

***

# 6
Ca2Al4ZnAg3, optimized geometry, DFT PBE-GGA; energy relative to the elements = -24.09 kJ per mole of atoms; E_tot = -31.3 eV/cell; density = 4.63 g/cm³
1.0
-2.250 -3.586 0.522
0.419 -0.868 -4.156
9.604 -5.712 2.163
Ca Al Zn Ag
2 4 1 3
Direct
0.500 0.000 0.253 Ca
0.000 0.500 0.747 Ca
0.500 0.500 0.000 Al
0.000 0.000 0.000 Al
0.500 0.000 0.634 Al
0.000 0.500 0.366 Al
0.500 0.500 0.500 Zn
0.000 0.000 0.500 Ag
0.500 0.000 0.859 Ag
0.000 0.500 0.141 Ag

***

# 7
CaAl2ZnAg4, optimized geometry, DFT PBE-GGA; energy relative to the elements = -12.07 kJ per mole of atoms; E_tot = -23.2 eV/cell; density = 6.39 g/cm³
1.0
4.540 0.000 0.000
2.270 3.932 0.000
2.270 1.311 8.596
Ca Al Zn Ag
1 2 1 4
Direct
0.000 0.000 0.000 Ca
0.755 0.755 0.735 Al
0.245 0.245 0.265 Al
0.500 0.500 0.500 Zn
0.399 0.399 0.803 Ag
0.869 0.869 0.394 Ag
0.131 0.131 0.606 Ag
0.601 0.601 0.197 Ag

***

# 8
CaAlZn2Ag4, optimized geometry, DFT PBE-GGA; energy relative to the elements = -10.90 kJ per mole of atoms; E_tot = -20.6 eV/cell; density = 6.88 g/cm³
1.0
-3.892 -1.943 -1.344
-0.021 -4.340 -1.378
-2.792 -4.608 7.035
Ca Al Zn Ag
1 1 2 4
Direct
0.000 0.000 0.000 Ca
0.500 0.500 0.500 Al
0.752 0.752 0.744 Zn
0.248 0.248 0.256 Zn
0.398 0.398 0.806 Ag
0.869 0.869 0.393 Ag
0.131 0.131 0.607 Ag
0.602 0.602 0.194 Ag